Computed, not measured: crystalline AsPdF3 at its relaxed geometry at the GGA-PBE level of DFT.

Computed properties:
Energy relative to the elements, uncorrected ... -0.9453 eV per atom
Density ... 5.27 g/cm³
Energy above the lowest structure with this stoichiometry ... 0.000 eV per formula unit
Total magnetization ... 0.0 μB/f.u.

a b c (Å): 4.2202 4.2202 4.2202
angles (deg): 90.00 90.00 90.00
Space group Pm-3m (No. 221)
Symmetry-distinct sites (fractional):
As: 0.0000 0.0000 0.0000 [1 per cell]
Pd: 0.5000 0.5000 0.5000 [1 per cell]
F: 0.0000 0.0000 0.5000 [3 per cell]